## PaTiN3 (PBE-GGA)

Data for an optimized crystal structure of PaTiN3.

M_tot in μB per formula unit: 0.0
DOS at the Fermi energy in states/eV/atom: 0.075
Formation energy (no corrections) in eV per formula unit: -6.949

Lattice parameters (Å, degrees): 3.3987 6.0759 6.6158 95.13 104.88 90.00
With the nearest neighbours (Å) after each atom.
Element x y z (fractional)
1 N 0.3235 0.8929 0.6470  2 Ti 2.05
2 N 0.0562 0.8190 0.1125  2 Ti 1.92-2.06
3 N 0.8342 0.5346 0.6683  1 Ti 2.02
4 N 0.1658 0.4654 0.3317  1 Ti 2.02
5 N 0.9438 0.1810 0.8875  2 Ti 1.92-2.06
6 N 0.6765 0.1071 0.3530  2 Ti 2.05
7 Ti 0.9075 0.8437 0.8150  5 N 1.92-2.06
8 Ti 0.0925 0.1563 0.1850  5 N 1.92-2.06
9 Pa 0.3288 0.2854 0.6576  6 N 2.27-2.44
10 Pa 0.6712 0.7146 0.3424  6 N 2.27-2.44